# MgSiSe2

A geometry-optimized MgSiSe2 structure (PBE-GGA, Alexandria).

Structure (POSCAR):
```
MgSiSe2
1.0
1.887 -3.571 0.000
1.887 3.571 0.000
0.000 0.000 7.344
Mg Si Se
1 1 2
Direct
0.000 0.000 0.000
0.000 0.000 0.500
0.500 0.500 0.251
0.500 0.500 0.749
```

The uncorrected formation energy comes out at -0.17 eV per atom. The calculated volume comes out at 24.75 Å³ per atom.

=====

# AcTbPr3

A geometry-optimized AcTbPr3 structure (PBE-GGA, Alexandria).

Structure (POSCAR):
```
AcTbPr3
1.0
6.380 0.000 0.000
0.000 7.073 0.000
-5.814 0.000 16.518
Ac Tb Pr
4 4 12
Direct
0.048 0.065 0.343
0.048 0.435 0.843
0.952 0.565 0.157
0.952 0.935 0.657
0.456 0.629 0.746
0.456 0.871 0.246
0.544 0.129 0.754
0.544 0.371 0.254
0.215 0.554 0.370
0.215 0.946 0.870
0.219 0.165 0.056
0.219 0.335 0.556
0.363 0.661 0.049
0.363 0.839 0.549
0.637 0.161 0.451
0.637 0.339 0.951
0.781 0.665 0.444
0.781 0.835 0.944
0.785 0.054 0.130
0.785 0.446 0.630
```

The energy of formation from the pure elements is 0.0805 eV per atom. The calculated volume comes out at 37.27 Å³ per atom. The calculation puts the distance to the lowest polymorph of the same formula at 0.000 eV/atom.

=====

# PmSm2Sb

A geometry-optimized PmSm2Sb structure (PBE-GGA, Alexandria).

Structure (POSCAR):
```
PmSm2Sb
1.0
4.090 0.000 0.000
0.000 4.090 0.000
0.000 0.000 7.334
Pm Sm Sb
1 2 1
Direct
0.000 0.000 0.000
0.500 0.500 0.282
0.500 0.500 0.718
0.000 0.000 0.500
```

The uncorrected formation energy comes out at -0.49 eV per atom. The calculated volume comes out at 30.68 Å³ per atom. The calculation puts the distance to the lowest polymorph of the same formula at 0.087 eV/atom.

=====

no.,VASP energy (eV/atom),spin magnetization (μB/atom)
1,-3.668,0.00
2,-4.535,0.00
3,-5.066,0.00